Entry 1:
Material: TiAlB
Method: DFT, GGA-PBE
State: optimized geometry

Cell lengths 3.147, 4.797, 11.489 Å; angles 90.00, 90.00, 90.00 degrees
Fractional coordinates of all 12 atoms:
1 Ti 0.000 0.000 0.141
2 Ti 0.000 0.000 0.859
3 Ti 0.500 0.500 0.359
4 Ti 0.500 0.500 0.641
5 Al 0.000 0.000 0.379
6 Al 0.000 0.000 0.621
7 Al 0.500 0.500 0.121
8 Al 0.500 0.500 0.879
9 B 0.000 0.327 0.000
10 B 0.000 0.673 0.000
11 B 0.500 0.173 0.500
12 B 0.500 0.827 0.500

**Calculated volume**: 173 Å³/cell
**Formation energy from the elements**: 18 kJ/mol of formula units

***

Entry 2:
Material: VB
Method: DFT, GGA-PBE
State: optimized geometry

Cell lengths 3.617, 3.617, 4.213 Å; angles 90.00, 90.00, 120.00 degrees
Fractional coordinates of all 4 atoms:
1 V 0.333 0.667 0.250
2 V 0.667 0.333 0.750
3 B 0.333 0.667 0.750
4 B 0.667 0.333 0.250

**Calculated volume**: 48 Å³/cell
**Formation energy from the elements**: 13 kJ/mol of formula units

***

Entry 3:
Material: Li3LaY2S6
Method: DFT, GGA-PBE
State: optimized geometry

Cell lengths 6.935, 6.935, 6.593 Å; angles 99.90, 99.90, 120.12 degrees
Fractional coordinates of all 12 atoms:
1 Li 0.000 0.000 0.000
2 Li 0.324 0.676 0.000
3 Li 0.676 0.324 0.000
4 La 0.500 0.500 0.500
5 Y 0.166 0.834 0.500
6 Y 0.834 0.166 0.500
7 S 0.072 0.418 0.248
8 S 0.237 0.237 0.754
9 S 0.418 0.072 0.248
10 S 0.582 0.928 0.752
11 S 0.763 0.763 0.246
12 S 0.928 0.582 0.752

**E_form (uncorrected)**: -1.841 eV/atom
**Calculated volume**: 257 Å³/cell